VASP calculation (PBE) on an optimized crystal structure of TeAs2Se.

Values from the calculation:
Energy above the most stable polymorph in this dataset ... 29 meV per atom
Space-group type ... R3m, No. 160
Uncorrected formation energy ... 100 meV/atom

Structure (POSCAR):
```
TeAs2Se
1.0
-3.710 -2.746 5.430
-3.890 -5.451 2.436
-0.608 -5.250 4.781
As Te Se
2 1 1
Cartesian
-8.142 -13.339 12.544
-2.080 -3.407 3.204
-6.124 -10.033 9.435
-4.175 -6.841 6.433
```

VASP calculation (PBE) on an optimized crystal structure of TeAsSe.

Values from the calculation:
Energy above the most stable polymorph in this dataset ... 0 meV per atom
Space-group type ... C2/m, No. 12
Uncorrected formation energy ... -48 meV/atom

Structure (POSCAR):
```
TeAsSe
1.0
4.043 0.000 0.000
2.022 8.134 -1.714
2.022 -0.795 5.955
Te As Se
2 2 2
Cartesian
4.043 2.845 3.244
4.043 4.494 0.996
2.022 1.002 2.281
6.065 6.337 1.959
2.022 0.011 4.461
6.065 7.328 -0.221
```

VASP calculation (PBE) on an optimized crystal structure of TeAs2Se.

Values from the calculation:
Energy above the most stable polymorph in this dataset ... 379 meV per atom
Space-group type ... F-43m, No. 216
Uncorrected formation energy ... 451 meV/atom

Structure (POSCAR):
```
TeAs2Se
1.0
-4.761 0.325 -1.353
-1.233 -0.200 -4.800
-2.346 -3.985 -1.794
As Te Se
2 1 1
Cartesian
0.000 0.000 0.000
-2.085 -0.965 -1.987
-6.255 -2.895 -5.961
-4.170 -1.930 -3.974
```

VASP calculation (PBE) on an optimized crystal structure of Te2AsSe.

Values from the calculation:
Energy above the most stable polymorph in this dataset ... 230 meV per atom
Space-group type ... Pmmm, No. 47
Uncorrected formation energy ... 283 meV/atom

Structure (POSCAR):
```
Te2AsSe
1.0
-0.919 -2.734 -2.761
-3.181 -4.734 5.746
-3.545 1.732 -0.535
As Te Se
1 2 1
Cartesian
-2.232 -0.501 -1.648
0.000 0.000 0.000
-2.050 -3.734 1.493
-3.363 -1.501 2.605
```

VASP calculation (PBE) on an optimized crystal structure of Te2AsSe.

Values from the calculation:
Energy above the most stable polymorph in this dataset ... 149 meV per atom
Space-group type ... R-3m, No. 166
Uncorrected formation energy ... 202 meV/atom

Structure (POSCAR):
```
Te2AsSe
1.0
-4.156 0.212 8.170
-0.963 -2.137 8.863
-0.573 1.866 8.958
As Te Se
1 2 1
Cartesian
-2.846 -0.030 12.995
-5.122 -0.053 23.388
-0.570 -0.006 2.603
0.000 0.000 0.000
```

VASP calculation (PBE) on an optimized crystal structure of Te2AsSe.

Values from the calculation:
Energy above the most stable polymorph in this dataset ... 227 meV per atom
Space-group type ... P4mm, No. 99
Uncorrected formation energy ... 280 meV/atom

Structure (POSCAR):
```
Te2AsSe
1.0
-0.585 -2.626 -2.361
2.361 -2.070 1.717
-6.200 -3.014 4.889
As Te Se
1 2 1
Cartesian
-3.422 -1.664 2.699
-0.217 -0.106 0.172
-0.632 -3.087 0.877
-3.252 -4.361 2.943
```

VASP calculation (PBE) on an optimized crystal structure of TeAs2Se.

Values from the calculation:
Energy above the most stable polymorph in this dataset ... 179 meV per atom
Space-group type ... I-42d, No. 122
Uncorrected formation energy ... 251 meV/atom

Structure (POSCAR):
```
TeAs2Se
1.0
-3.333 -6.387 0.385
5.747 -3.179 -2.985
2.849 -5.409 2.528
As Te Se
4 2 2
Cartesian
-0.593 -5.627 0.493
3.828 -4.252 -1.178
3.145 -7.701 0.868
4.147 -12.370 -0.325
0.000 0.000 0.000
0.362 -8.289 0.807
1.207 -4.783 -1.300
4.902 -6.686 -0.878
```

VASP calculation (PBE) on an optimized crystal structure of TeAsSe2.

Values from the calculation:
Energy above the most stable polymorph in this dataset ... 210 meV per atom
Space-group type ... Pmm2, No. 25
Uncorrected formation energy ... 160 meV/atom

Structure (POSCAR):
```
TeAsSe2
1.0
-3.185 -2.963 0.037
1.976 -2.100 1.929
-2.969 3.272 6.602
As Te Se
1 1 2
Cartesian
-3.309 0.450 6.997
-1.591 1.754 3.539
-2.541 2.800 5.649
-1.191 -1.886 2.286
```

VASP calculation (PBE) on an optimized crystal structure of TeAs2Se.

Values from the calculation:
Energy above the most stable polymorph in this dataset ... 106 meV per atom
Space-group type ... Imm2, No. 44
Uncorrected formation energy ... 178 meV/atom

Structure (POSCAR):
```
TeAs2Se
1.0
8.786 0.045 0.000
7.253 4.960 0.000
-8.013 -2.522 2.574
As Te Se
2 1 1
Cartesian
0.781 0.244 0.000
2.687 2.176 1.287
4.612 0.080 1.287
7.966 2.486 0.000
```

VASP calculation (PBE) on an optimized crystal structure of TeAsSe2.

Values from the calculation:
Energy above the most stable polymorph in this dataset ... 165 meV per atom
Space-group type ... C2/m, No. 12
Uncorrected formation energy ... 116 meV/atom

Structure (POSCAR):
```
TeAsSe2
1.0
-4.609 2.016 0.434
-0.021 -3.334 -3.791
-3.353 -3.615 0.937
As Te Se
1 1 2
Cartesian
-1.687 -3.475 -1.427
-3.981 -0.800 0.685
0.000 0.000 0.000
-2.315 -0.659 -1.679
```

VASP calculation (PBE) on an optimized crystal structure of Te3AsSe.

Values from the calculation:
Energy above the most stable polymorph in this dataset ... 0 meV per atom
Space-group type ... Pm-3m, No. 221
Uncorrected formation energy ... 700 meV/atom

Structure (POSCAR):
```
Te3AsSe
1.0
5.393 0.000 0.000
0.000 5.393 0.000
0.000 0.000 5.393
As Te Se
1 3 1
Cartesian
0.000 0.000 0.000
0.000 2.697 0.000
0.000 0.000 2.697
2.697 0.000 0.000
2.697 2.697 2.697
```

VASP calculation (PBE) on an optimized crystal structure of TeAsSe3.

Values from the calculation:
Energy above the most stable polymorph in this dataset ... 0 meV per atom
Space-group type ... P2_1/m, No. 11
Uncorrected formation energy ... -5 meV/atom

Structure (POSCAR):
```
TeAsSe3
1.0
-3.304 0.633 -1.816
-3.626 -0.164 6.539
1.285 9.630 1.019
Te As Se
2 2 6
Cartesian
-1.832 7.932 4.085
-3.813 2.167 1.657
-3.958 1.809 5.819
-1.687 8.289 -0.077
-1.619 0.352 1.057
-4.026 9.747 4.685
-2.613 3.209 3.859
-3.033 6.890 1.883
-3.515 6.339 6.590
-2.131 3.760 -0.848
```